A geometry-optimized Na2CePa2Se6 structure. Source: the Alexandria database, functional PBE.

formation energy (no corrections): -1411.4 meV/atom
total magnetization: 4.03 μB/f.u.

Lattice parameters (Å, degrees): 7.223 12.574 7.483 90.00 108.53 90.00
Space group C2/m (No. 12)
Asymmetric unit:
Na1 0.000 0.165 0.000 x4
Ce1 0.000 0.000 0.500 x2
Pa1 0.000 0.336 0.500 x4
Se1 0.236 0.500 0.735 x4
Se2 0.245 0.173 0.729 x8